Crystalline U4Ge8Pt at its relaxed geometry, computed with GGA-PBE.

Lattice parameters (Å, degrees): 4.037 4.166 15.794 90.00 90.00 90.00
Element x y z (fractional)
U 0.000 0.000 0.000
U 0.000 0.500 0.477
U 0.500 0.000 0.793
U 0.500 0.500 0.283
Ge 0.000 0.000 0.320
Ge 0.000 0.000 0.614
Ge 0.000 0.500 0.141
Ge 0.000 0.500 0.862
Ge 0.500 0.000 0.143
Ge 0.500 0.000 0.432
Ge 0.500 0.500 0.612
Ge 0.500 0.500 0.967
Pt 0.000 0.500 0.706

## Properties
The symmetry is Pmm2, No. 25. As for the formation energy: -317 kJ/mol of formula units. The calculation puts the uncorrected energy at -7.03 eV/atom. The volume is 266 Å³ per cell.